Entry 1:
Below is an optimized crystal structure of AcGaH, with properties calculated at the PBE-GGA level.

Properties
V: 21.4 A^3/atom
E_tot: -4.08 eV/atom
M_tot: 0.0 μB per cell
polymorph energy (0 for the lowest one): 0.0 kJ per mole of atoms

Unit cell a=4.496 b=13.026 c=4.386 alpha=90.00 beta=90.00 gamma=90.00
Space group Cmcm (No. 63)
Asymmetric unit:
1 Ac 0.000 0.152 0.250
2 Ga 0.000 0.449 0.250
3 H 0.000 0.250 0.750

Entry 2:
Below is an optimized crystal structure of NaZrW2, with properties calculated at the PBE-GGA level.

Properties
V: 19.4 A^3/atom
energy of formation from the pure elements: 4.693 eV/f.u.
E_tot: -7.77 eV/atom
M_tot: 0.0 μB per cell
polymorph energy (0 for the lowest one): 0.0 kJ per mole of atoms

Unit cell a=3.901 b=3.901 c=20.429 alpha=90.00 beta=90.00 gamma=90.00
Space group I-42d (No. 122)
Asymmetric unit:
1 Na 0.000 0.000 0.000
2 Zr 0.000 0.000 0.500
3 W 0.229 0.250 0.625

Entry 3:
Below is an optimized crystal structure of Th4SbIrS2, with properties calculated at the PBE-GGA level.

Properties
V: 26.7 A^3/atom
E_tot: -7.68 eV/atom
energy relative to the elements, uncorrected: -10.5 eV per formula unit
M_tot: 0.0 μB per cell

Unit cell a=7.245 b=4.104 c=7.589 alpha=90.00 beta=108.77 gamma=90.00
Space group P2/m (No. 10)
Asymmetric unit:
1 Th 0.229 0.000 0.227
2 Th 0.260 0.500 0.775
3 Sb 0.500 0.500 0.500
4 Ir 0.500 0.000 0.000
5 S 0.000 0.000 0.500
6 S 0.000 0.500 0.000

Entry 4:
Below is an optimized crystal structure of Ag3Pb, with properties calculated at the PBE-GGA level.

Properties
V: 22.9 A^3/atom
energy of formation from the pure elements: 0.744 eV/f.u.
E_tot: -2.88 eV/atom
M_tot: 0.0 μB per cell

Unit cell a=8.346 b=9.137 c=4.813 alpha=90.00 beta=90.00 gamma=90.00
Space group Cmcm (No. 63)
Asymmetric unit:
1 Ag 0.000 0.079 0.250
2 Ag 0.168 0.205 0.750
3 Pb 0.000 0.394 0.250